Material: MgNpTeO6
Method: DFT, PBE
State: optimized geometry

Cell and atoms, written as POSCAR:
```
MgNpTeO6
1.0
5.594 0.000 0.000
-2.797 4.845 0.000
0.000 0.000 9.007
Mg Np Te O
2 2 2 12
direct
0.000 0.000 0.000
0.000 0.000 0.500
0.667 0.333 0.250
0.333 0.667 0.750
0.333 0.667 0.250
0.667 0.333 0.750
0.666 0.653 0.131
0.987 0.334 0.131
0.334 0.987 0.631
0.013 0.666 0.869
0.347 0.334 0.369
0.987 0.653 0.369
0.653 0.987 0.869
0.666 0.013 0.369
0.013 0.347 0.631
0.347 0.013 0.131
0.653 0.666 0.631
0.334 0.347 0.869
```

M_tot, μB/atom: 0.1111
Uncorrected formation energy, eV per atom: -2.04
Crystal system: trigonal
Space group: P-31c, No. 163

Material: Tb2SmIn4
Method: DFT, PBE
State: optimized geometry

Cell and atoms, written as POSCAR:
```
Tb2SmIn4
1.0
-0.356 -5.214 -0.835
5.172 -0.513 0.998
-3.890 1.820 7.066
Tb Sm In
2 1 4
direct
0.747 0.747 0.493
0.253 0.253 0.507
0.000 0.000 0.000
0.382 0.882 0.764
0.882 0.382 0.764
0.618 0.118 0.236
0.118 0.618 0.236
```

Energy of formation, eV/atom: -0.307
M_tot, μB/atom: 0.0002
Crystal system: tetragonal
Space group: I4/mmm, No. 139

Material: CaAlAs2
Method: DFT, PBE
State: optimized geometry

Cell and atoms, written as POSCAR:
```
CaAlAs2
1.0
-2.665 -0.415 2.418
-2.495 -0.553 -2.844
-0.466 -6.475 -1.625
As Ca Al
2 1 1
direct
0.000 0.985 0.960
0.000 0.515 0.540
0.500 0.250 0.250
0.500 0.750 0.750
```

Energy of formation, eV/atom: -0.391
M_tot, μB/atom: 0.0000
Crystal system: monoclinic
Space group: P2/m, No. 10